The following is a meta-GGA SCAN calculation of PbS2BrN at its PBEsol-relaxed geometry, from Alexandria via LeMat-Bulk.

Computed properties:
Calculated density, g cm⁻³: 4.95
Uncorrected formation energy, eV/atom: 1.2498
V, Å³/cell: 122.5
E, eV for the cell shown: -117.5

Cell: 5.239 5.239 4.463 Å, 90.00 90.00 90.00°
Space group P4/mmm (No. 123)
One atom of each set of equivalent atoms:
Pb (0.000, 0.000, 0.000) x1
S (0.000, 0.500, 0.000) x2
Br (0.500, 0.500, 0.500) x1
N (0.000, 0.000, 0.500) x1